# 1
The following is a PBE calculation of a geometry-optimized Cs6H2Au3Br structure, from Alexandria via LeMat-Bulk.

POSCAR file:
```
Cs6H2Au3Br
1.0
5.001 0.000 0.000
0.000 10.124 0.273
-2.501 -3.005 10.535
Cs H Au Br
6 2 3 1
direct
0.325 0.434 0.651
0.331 0.897 0.662
0.012 0.258 0.024
0.988 0.742 0.976
0.675 0.566 0.349
0.669 0.103 0.338
0.171 0.339 0.343
0.829 0.661 0.657
0.162 0.827 0.325
0.838 0.173 0.675
0.500 0.500 0.000
0.500 0.000 0.000
```

Calculated values
total energy	-2.4372	eV/atom
calculated volume	537.5	Å³/cell
size of the total moment	0.008	μB per atom
D(E_F)	0.00	states/eV per atom

=====

# 2
The following is a PBE calculation of a geometry-optimized KZr2Co structure, from Alexandria via LeMat-Bulk.

POSCAR file:
```
KZr2Co
1.0
3.759 0.000 0.000
0.000 4.716 0.000
0.000 0.000 4.716
Co K Zr
1 1 2
direct
0.500 0.500 0.000
0.500 0.000 0.500
0.000 0.500 0.500
0.000 0.000 0.000
```

Calculated values
total energy	-5.2636	eV/atom
calculated volume	83.6	Å³/cell
size of the total moment	0.000	μB per atom
E above lowest polymorph	800	meV/atom
D(E_F)	1.02	states/eV per atom
formation enthalpy at 0 K	1.061	eV/atom

=====

# 3
The following is a PBE calculation of a geometry-optimized Zr2CdHRh structure, from Alexandria via LeMat-Bulk.

POSCAR file:
```
Zr2CdHRh
1.0
4.962 0.000 0.000
0.000 5.173 0.000
0.000 0.000 4.962
Zr Rh H Cd
2 1 1 1
direct
0.000 0.000 0.500
0.500 0.000 0.000
0.000 0.000 0.000
0.500 0.500 0.500
0.000 0.500 0.000
```

Calculated values
total energy	-5.0552	eV/atom
calculated volume	127.4	Å³/cell
size of the total moment	0.000	μB per atom
E above lowest polymorph	1032	meV/atom
D(E_F)	0.74	states/eV per atom

=====

# 4
The following is a PBE calculation of a geometry-optimized NpTl2PbO8 structure, from Alexandria via LeMat-Bulk.

POSCAR file:
```
NpTl2PbO8
1.0
5.196 -0.137 -0.003
-0.115 5.193 -0.006
0.004 0.008 7.011
O Pb Tl Np
8 1 2 1
direct
0.692 0.692 0.500
0.702 0.703 0.000
0.308 0.308 0.500
0.822 0.179 0.209
0.178 0.821 0.209
0.298 0.297 0.000
0.822 0.179 0.791
0.178 0.821 0.791
0.000 0.000 0.500
0.500 0.500 0.248
0.500 0.500 0.752
0.000 0.000 0.000
```

Calculated values
total energy	-6.4500	eV/atom
calculated volume	189.1	Å³/cell
size of the total moment	0.000	μB per atom
formation energy (no corrections)	-1.36	eV/atom
D(E_F)	0.10	states/eV per atom

=====

# 5
The following is a PBE calculation of a geometry-optimized NaLaSeS2 structure, from Alexandria via LeMat-Bulk.

POSCAR file:
```
NaLaSeS2
1.0
-4.708 -0.949 -2.292
3.595 -12.634 -2.154
-2.022 -1.381 4.725
Na S La Se
1 2 1 1
direct
0.000 0.500 0.000
0.000 0.000 0.500
0.500 0.000 0.000
0.000 0.000 0.000
0.500 0.500 0.500
```

Calculated values
total energy	-3.9751	eV/atom
calculated volume	376.9	Å³/cell
size of the total moment	0.209	μB per atom
formation energy (no corrections)	-0.38	eV/atom
D(E_F)	2.43	states/eV per atom

=====

# 6
The following is a PBE calculation of a geometry-optimized NaGaAu structure, from Alexandria via LeMat-Bulk.

POSCAR file:
```
NaGaAu
1.0
-2.994 -1.294 -2.785
4.422 -3.795 0.313
-2.663 -2.762 4.147
Au Na Ga
2 2 2
direct
0.933 0.866 0.750
0.067 0.134 0.250
0.218 0.435 0.750
0.782 0.565 0.250
0.500 0.000 0.500
0.500 0.000 0.000
```

Calculated values
total energy	-2.8194	eV/atom
calculated volume	131.5	Å³/cell
size of the total moment	0.000	μB per atom
D(E_F)	0.34	states/eV per atom
formation enthalpy at 0 K	-0.278	eV/atom

=====

- Among the records above, which one has the highest calculated volume?
  Cs6H2Au3Br

=====

- What is the calculated volume in the sixth record?
  131.5 Å³/cell